Entry 1:
La4CdIn2 (GGA-PBE, optimized geometry); total magnetization = 0.00 μB per formula unit; relative energy among the computed polymorphs = 0.000 eV/atom; space-group type = R-3m
1.0
2.7624 1.5949 8.8583
-2.7624 1.5949 8.8583
0.0000 -3.1897 8.8583
La Cd In
4 1 2
direct
0.1183 0.1183 0.1183
0.3704 0.3704 0.3704
0.6296 0.6296 0.6296
0.8817 0.8817 0.8817
0.5000 0.5000 0.5000
0.2462 0.2462 0.2462
0.7538 0.7538 0.7538

Entry 2:
LaCdIn2 (GGA-PBE, optimized geometry); total magnetization = 0.00 μB per formula unit; space-group type = P4/mmm
1.0
3.7702 0.0000 0.0000
0.0000 3.7702 0.0000
0.0000 0.0000 7.6626
La Cd In
1 1 2
direct
0.0000 0.0000 0.0000
0.0000 0.0000 0.5000
0.5000 0.5000 0.2846
0.5000 0.5000 0.7154

Entry 3:
LaCdIn2 (GGA-PBE, optimized geometry); total magnetization = 0.00 μB per formula unit; space-group type = Imm2
1.0
-2.3975 2.3981 4.7856
2.3975 -2.3981 4.7856
2.3975 2.3981 -4.7856
La Cd In
1 1 2
direct
0.0000 0.0000 0.0000
0.2501 0.7501 0.5000
0.5007 0.5007 0.0000
0.7502 0.2502 0.5000

E_form? In order: -0.3298 -0.2701 -0.3366 eV per atom.
Uncorrected energy? In order: -4.059 -3.100 -3.166 eV/atom.